w.
First-principles (GGA-PBE) data for crystalline AcHo2Cd at its relaxed geometry, as listed in the Alexandria database.

ρ: 8.9 g cm⁻³
spin magnetization: 0.0 μB/f.u.
V: 31.1 A^3/atom

CIF file:
```
data_AcHo2Cd
_cell_length_a 7.923
_cell_length_b 7.923
_cell_length_c 7.923
_cell_angle_alpha 90.00
_cell_angle_beta 90.00
_cell_angle_gamma 90.00
_symmetry_space_group_name_H-M 'F m -3 m'
_symmetry_Int_Tables_number 225
_symmetry_space_group_name_Hall '-F 4 2 3'
loop_
_atom_site_label
_atom_site_type_symbol
_atom_site_fract_x
_atom_site_fract_y
_atom_site_fract_z
Ac1 Ac 0.000 0.000 0.000
Ho1 Ho 0.250 0.250 0.250
Cd1 Cd 0.000 0.000 0.500
```

x.
First-principles (GGA-PBE) data for crystalline AcHo2Cd at its relaxed geometry, as listed in the Alexandria database.

ρ: 8.3 g cm⁻³
spin magnetization: 0.0 μB/f.u.
V: 33.4 A^3/atom

CIF file:
```
data_AcHo2Cd
_cell_length_a 3.5805
_cell_length_b 3.5805
_cell_length_c 36.0735
_cell_angle_alpha 90.00
_cell_angle_beta 90.00
_cell_angle_gamma 120.00
_symmetry_space_group_name_H-M 'R -3 m'
_symmetry_Int_Tables_number 166
_symmetry_space_group_name_Hall '-R 3 2"'
loop_
_atom_site_label
_atom_site_type_symbol
_atom_site_fract_x
_atom_site_fract_y
_atom_site_fract_z
Ac1 Ac 0.0000 0.0000 0.0000
Ho1 Ho 0.0000 0.0000 0.0989
Cd1 Cd 0.0000 0.0000 0.5000
```

y.
First-principles (GGA-PBE) data for crystalline AcHo2Cd at its relaxed geometry, as listed in the Alexandria database.

ρ: 8.8 g cm⁻³
spin magnetization: 0.3 μB/f.u.
V: 31.6 A^3/atom

CIF file:
```
data_AcHo2Cd
_cell_length_a 4.975
_cell_length_b 4.975
_cell_length_c 5.112
_cell_angle_alpha 90.00
_cell_angle_beta 90.00
_cell_angle_gamma 90.00
_symmetry_space_group_name_H-M 'P 4/m m m'
_symmetry_Int_Tables_number 123
_symmetry_space_group_name_Hall '-P 4 2'
loop_
_atom_site_label
_atom_site_type_symbol
_atom_site_fract_x
_atom_site_fract_y
_atom_site_fract_z
Ac1 Ac 0.000 0.000 0.000
Ho1 Ho 0.000 0.500 0.500
Cd1 Cd 0.500 0.500 0.000
```

z.
First-principles (GGA-PBE) data for crystalline AcHo2Cd at its relaxed geometry, as listed in the Alexandria database.

ρ: 8.5 g cm⁻³
spin magnetization: 0.0 μB/f.u.
V: 32.8 A^3/atom

CIF file:
```
data_AcHo2Cd
_cell_length_a 3.7144
_cell_length_b 3.7144
_cell_length_c 32.9436
_cell_angle_alpha 90.00
_cell_angle_beta 90.00
_cell_angle_gamma 120.00
_symmetry_space_group_name_H-M 'R 3 m'
_symmetry_Int_Tables_number 160
_symmetry_space_group_name_Hall 'R 3 -2"'
loop_
_atom_site_label
_atom_site_type_symbol
_atom_site_fract_x
_atom_site_fract_y
_atom_site_fract_z
Ac1 Ac 0.0000 0.0000 0.0000
Ho1 Ho 0.0000 0.0000 0.5723
Ho2 Ho 0.0000 0.0000 0.7607
Cd1 Cd 0.0000 0.0000 0.1662
```

Stability ranking, top entry: y; the second entry is 0.014 eV/atom less favorable.

w.
First-principles (GGA-PBE) data for crystalline AcPmHoCd at its relaxed geometry, as listed in the Alexandria database.

ρ: 8.3 g cm⁻³
spin magnetization: 0.0 μB/f.u.
V: 32.5 A^3/atom

CIF file:
```
data_AcPmHoCd
_cell_length_a 3.800
_cell_length_b 3.800
_cell_length_c 9.001
_cell_angle_alpha 90.00
_cell_angle_beta 90.00
_cell_angle_gamma 90.00
_symmetry_space_group_name_H-M 'P 4 m m'
_symmetry_Int_Tables_number 99
loop_
_symmetry_equiv_pos_as_xyz
'x,y,z'
'-y,x,z'
'-x,-y,z'
'y,-x,z'
'-x,y,z'
'y,x,z'
'x,-y,z'
'-y,-x,z'
loop_
_atom_site_label
_atom_site_type_symbol
_atom_site_fract_x
_atom_site_fract_y
_atom_site_fract_z
Ac1 Ac 0.000 0.000 0.000
Pm1 Pm 0.500 0.500 0.704
Ho1 Ho 0.500 0.500 0.287
Cd1 Cd 0.000 0.000 0.484
```

x.
First-principles (GGA-PBE) data for crystalline AcPmHoCd at its relaxed geometry, as listed in the Alexandria database.

ρ: 8.4 g cm⁻³
spin magnetization: 0.0 μB/f.u.
V: 32.0 A^3/atom

CIF file:
```
data_AcPmHoCd
_cell_length_a 8.000
_cell_length_b 8.000
_cell_length_c 8.000
_cell_angle_alpha 90.00
_cell_angle_beta 90.00
_cell_angle_gamma 90.00
_symmetry_space_group_name_H-M 'F -4 3 m'
_symmetry_Int_Tables_number 216
_symmetry_space_group_name_Hall 'F -4 2 3'
loop_
_atom_site_label
_atom_site_type_symbol
_atom_site_fract_x
_atom_site_fract_y
_atom_site_fract_z
Ac1 Ac 0.000 0.000 0.000
Pm1 Pm 0.250 0.250 0.750
Ho1 Ho 0.250 0.250 0.250
Cd1 Cd 0.000 0.000 0.500
```

Stability ranking, top entry: w; the second entry is 0.192 eV/atom less favorable.

w.
First-principles (GGA-PBE) data for crystalline AcSmHoCd at its relaxed geometry, as listed in the Alexandria database.

ρ: 8.4 g cm⁻³
spin magnetization: 0.0 μB/f.u.
V: 32.3 A^3/atom

CIF file:
```
data_AcSmHoCd
_cell_length_a 3.793
_cell_length_b 3.793
_cell_length_c 8.991
_cell_angle_alpha 90.00
_cell_angle_beta 90.00
_cell_angle_gamma 90.00
_symmetry_space_group_name_H-M 'P 4 m m'
_symmetry_Int_Tables_number 99
loop_
_symmetry_equiv_pos_as_xyz
'x,y,z'
'-y,x,z'
'-x,-y,z'
'y,-x,z'
'-x,y,z'
'y,x,z'
'x,-y,z'
'-y,-x,z'
loop_
_atom_site_label
_atom_site_type_symbol
_atom_site_fract_x
_atom_site_fract_y
_atom_site_fract_z
Ac1 Ac 0.000 0.000 0.000
Sm1 Sm 0.500 0.500 0.704
Ho1 Ho 0.500 0.500 0.289
Cd1 Cd 0.000 0.000 0.487
```

x.
First-principles (GGA-PBE) data for crystalline AcSmHoCd at its relaxed geometry, as listed in the Alexandria database.

ρ: 8.5 g cm⁻³
spin magnetization: 0.0 μB/f.u.
V: 31.8 A^3/atom

CIF file:
```
data_AcSmHoCd
_cell_length_a 7.986
_cell_length_b 7.986
_cell_length_c 7.986
_cell_angle_alpha 90.00
_cell_angle_beta 90.00
_cell_angle_gamma 90.00
_symmetry_space_group_name_H-M 'F -4 3 m'
_symmetry_Int_Tables_number 216
_symmetry_space_group_name_Hall 'F -4 2 3'
loop_
_atom_site_label
_atom_site_type_symbol
_atom_site_fract_x
_atom_site_fract_y
_atom_site_fract_z
Ac1 Ac 0.000 0.000 0.000
Sm1 Sm 0.250 0.250 0.250
Ho1 Ho 0.250 0.250 0.750
Cd1 Cd 0.000 0.000 0.500
```

Stability ranking, top entry: w; the second entry is 0.195 eV/atom less favorable.